# GaPS3 GGA-PBE optimized geometry
# - Density of states at the Fermi level: 5.18 states/eV per cell
# - ΔE_f (raw): 0.32 eV per atom
# - ρ: 3445 kg/m³
# - Volume: 18.98 Å³ per atom
data_GaPS3
_symmetry_space_group_name_H-M 'P m -3 m'
_symmetry_Int_Tables_number 221
_symmetry_space_group_name_Hall '-P 4 2 3'
_cell_length_a 4.561
_cell_length_b 4.561
_cell_length_c 4.561
_cell_angle_alpha 90.00
_cell_angle_beta 90.00
_cell_angle_gamma 90.00
loop_
_atom_site_label
_atom_site_type_symbol
_atom_site_fract_x
_atom_site_fract_y
_atom_site_fract_z
Ga1 Ga 0.000 0.000 0.000
P1 P 0.500 0.500 0.500
S1 S 0.000 0.500 0.500

# NdTm2ScS6 GGA-PBE optimized geometry
# - Density of states at the Fermi level: 0.00 states/eV per cell
# - ΔE_f (raw): -1.99 eV per atom
# - ρ: 4861 kg/m³
# - Volume: 24.57 Å³ per atom
data_NdTm2ScS6
_symmetry_space_group_name_H-M 'R 3'
_symmetry_Int_Tables_number 146
_symmetry_space_group_name_Hall 'R 3'
_cell_length_a 6.8255
_cell_length_b 6.8255
_cell_length_c 18.2725
_cell_angle_alpha 90.00
_cell_angle_beta 90.00
_cell_angle_gamma 120.00
loop_
_atom_site_label
_atom_site_type_symbol
_atom_site_fract_x
_atom_site_fract_y
_atom_site_fract_z
Nd1 Nd 0.0000 0.0000 0.0000
Tm1 Tm 0.0000 0.0000 0.2906
Tm2 Tm 0.0000 0.0000 0.7974
Sc1 Sc 0.0000 0.0000 0.4895
S1 S 0.0219 0.7213 0.3941
S2 S 0.0263 0.3480 0.5579

# ErMgGe2 GGA-PBE optimized geometry
# - Density of states at the Fermi level: 2.33 states/eV per cell
# - Excess energy over the best structure of this formula in the dataset: 114 meV per atom
# - ρ: 6800 kg/m³
# - Volume: 20.56 Å³ per atom
data_ErMgGe2
_symmetry_space_group_name_H-M 'P 4/m m m'
_symmetry_Int_Tables_number 123
_symmetry_space_group_name_Hall '-P 4 2'
_cell_length_a 3.583
_cell_length_b 3.583
_cell_length_c 6.408
_cell_angle_alpha 90.00
_cell_angle_beta 90.00
_cell_angle_gamma 90.00
loop_
_atom_site_label
_atom_site_type_symbol
_atom_site_fract_x
_atom_site_fract_y
_atom_site_fract_z
Er1 Er 0.000 0.000 0.000
Mg1 Mg 0.000 0.000 0.500
Ge1 Ge 0.500 0.500 0.279

# BaTeW2 GGA-PBE optimized geometry
# - Density of states at the Fermi level: 3.73 states/eV per cell
# - ΔE_f (raw): 1.10 eV per atom
# - ρ: 10322 kg/m³
# - Volume: 25.44 Å³ per atom
data_BaTeW2
_symmetry_space_group_name_H-M 'P m m m'
_symmetry_Int_Tables_number 47
_cell_length_a 3.437
_cell_length_b 4.190
_cell_length_c 7.067
_cell_angle_alpha 90.00
_cell_angle_beta 90.00
_cell_angle_gamma 90.00
loop_
_symmetry_equiv_pos_as_xyz
'x,y,z'
'-x,-y,-z'
'-x,-y,z'
'x,y,-z'
'x,-y,-z'
'-x,y,z'
'-x,y,-z'
'x,-y,z'
loop_
_atom_site_label
_atom_site_type_symbol
_atom_site_fract_x
_atom_site_fract_y
_atom_site_fract_z
Ba1 Ba 0.000 0.000 0.000
Te1 Te 0.000 0.000 0.500
W1 W 0.500 0.500 0.336

ρ of number 3 (ErMgGe2)? 6800 kg/m³

Look up the density of states at the Fermi level of the first one. 5.18 states/eV per cell

Which formula does entry 1 have? GaPS3